# VNi3O6, optimized geometry, DFT PBE+U
# symmetry = Cmc2_1, No. 36
# energy = -113.80 eV/cell
# density = 4.857 Mg/m³
data_VNi3O6
_chemical_formula_sum 'V2 Ni6 O12'
_symmetry_space_group_name_H-M 'P 1'
_symmetry_Int_Tables_number 1
_cell_length_a 5.406
_cell_length_b 6.428
_cell_length_c 6.428
_cell_angle_alpha 98.57
_cell_angle_beta 90.00
_cell_angle_gamma 90.00
loop_
_symmetry_equiv_pos_as_xyz
'x,y,z'
loop_
_atom_site_label
_atom_site_fract_x
_atom_site_fract_y
_atom_site_fract_z
_atom_site_occupancy
V1 0.957 0.169 0.831 1
V2 0.457 0.831 0.169 1
Ni1 0.472 0.943 0.674 1
Ni2 0.972 0.674 0.943 1
Ni3 0.594 0.467 0.533 1
Ni4 0.094 0.533 0.467 1
Ni5 0.972 0.057 0.326 1
Ni6 0.472 0.326 0.057 1
O1 0.342 0.652 0.653 1
O2 0.842 0.653 0.652 1
O3 0.123 0.387 0.943 1
O4 0.623 0.943 0.387 1
O5 0.905 0.992 0.008 1
O6 0.654 0.242 0.758 1
O7 0.154 0.758 0.242 1
O8 0.405 0.008 0.992 1
O9 0.123 0.057 0.613 1
O10 0.623 0.613 0.057 1
O11 0.342 0.347 0.348 1
O12 0.842 0.348 0.347 1